12
Lattice="6.6885 0.3434 -0.0056 0.4451 6.6138 -0.0083 0.0062 0.0099 8.2199" Properties=species:S:1:pos:R:3 comment="PBE KLiHo2Cl8, optimized geometry" space_group="P2/m, No. 10" dos_ef_per_ev_fu=0.00 pbc="T T T"
K 0.0031 0.0049 4.1100
Li 0.0000 0.0000 0.0000
Ho 3.5716 3.4860 6.2220
Ho 3.5683 3.4811 1.9841
Cl 1.6964 5.2558 1.7701
Cl 4.8030 4.7817 -0.0094
Cl 5.4401 1.7056 1.7715
Cl 5.4435 1.7112 6.4360
Cl 2.3306 2.1755 -0.0044
Cl 1.6997 5.2614 6.4346
Cl 4.7269 4.7208 4.1007
Cl 2.4130 2.2462 4.1054



18
Lattice="-4.2177 -4.5587 -2.6645 4.8479 -1.9744 4.2742 -8.6623 1.7888 10.6514" Properties=species:S:1:pos:R:3 comment="PBE KHoMgCl6, optimized geometry" space_group="P-31c, No. 163" dos_ef_per_ev_fu=0.00 pbc="T T T"
K 0.0000 0.0000 0.0000
K -4.3312 0.8944 5.3257
Ho -3.3614 -3.2500 2.3113
Ho -4.6707 -1.4942 9.9499
Mg -0.3395 -2.3886 4.6242
Mg -7.6925 -2.3556 7.6370
Cl -0.7973 -3.8274 2.5839
Cl 0.5379 -0.5435 3.1181
Cl -7.1159 -0.5962 5.9008
Cl -8.5699 -4.2008 9.1430
Cl -2.7965 -1.7807 4.4336
Cl -0.0635 -0.6676 6.4693
Cl -10.0305 -1.3798 7.4814
Cl -0.9161 -4.1480 6.3604
Cl -7.9686 -4.0766 5.7919
Cl 1.9984 -3.3645 4.7797
Cl -5.2356 -2.9635 7.8276
Cl -7.2348 -0.9169 9.6773



16
Lattice="7.7243 -0.3379 -0.0020 -2.5780 7.2892 -0.0020 -2.1162 -2.8585 9.4040" Properties=species:S:1:pos:R:3 comment="PBE KNaHoCl5, optimized geometry" space_group="C2/c, No. 15" dos_ef_per_ev_fu=0.00 pbc="T T T"
K 0.4582 3.9351 2.3490
K 2.5718 0.1577 7.0509
Na 3.9634 1.3401 2.3490
Na -0.9334 2.7527 7.0509
Ho -1.0581 -1.4292 4.7020
Ho 0.0000 0.0000 0.0000
Cl -2.3399 6.0066 2.3490
Cl 5.3699 -1.9138 7.0509
Cl 6.1775 1.5738 0.9128
Cl -3.1475 2.5190 8.4871
Cl 4.3862 -0.8459 3.7851
Cl -1.3562 4.9386 5.6147
Cl 3.1716 3.1257 4.1657
Cl -0.1416 0.9670 5.2342
Cl 2.0244 1.5761 0.5322
Cl 1.0056 2.5167 8.8677



9
Lattice="-3.7511 4.2413 -3.3679 -4.8319 -2.2368 -3.8797 -4.4725 0.3213 5.3857" Properties=species:S:1:pos:R:3 comment="PBE KHoNiCl6, optimized geometry" space_group="P312, No. 149" pbc="T T T"
K -8.2235 4.5625 2.0178
Ho -7.9581 1.4968 -2.1389
Ni -5.0968 0.8284 0.2773
Cl -3.1329 -0.6048 0.1244
Cl -4.6058 1.6887 2.5031
Cl -7.2021 2.0548 0.3251
Cl -6.2340 -1.0598 1.3146
Cl -5.6521 0.2238 -2.0171
Cl -3.7563 2.6695 -0.5883



12
Lattice="6.8238 0.0291 -0.0044 0.0745 6.5594 -0.0071 0.0056 0.0102 8.8694" Properties=species:S:1:pos:R:3 comment="PBE KHoPb2Cl8, optimized geometry" space_group="P2/m, No. 10" dos_ef_per_ev_fu=0.00 pbc="T T T"
K 0.0028 0.0051 4.4347
Ho 0.0000 0.0000 0.0000
Pb 3.4533 3.3017 6.6439
Pb 3.4506 3.2969 2.2139
Cl 1.1429 5.0788 1.9005
Cl 4.7660 4.9939 8.8604
Cl 5.7570 1.5134 1.9013
Cl 5.7610 1.5198 6.9573
Cl 2.1379 1.6048 -0.0026
Cl 1.1468 5.0853 6.9565
Cl 4.4288 4.7585 4.4270
Cl 2.4750 1.8402 4.4308



9
Lattice="6.7005 0.0002 -0.0005 3.3505 5.8034 -0.0004 -0.0003 -0.0005 7.0869" Properties=species:S:1:pos:R:3 comment="PBE KHoPdCl6, optimized geometry" space_group="P312, No. 149" pbc="T T T"
K 6.7000 -0.0003 7.0863
Ho 3.3500 1.9344 3.5431
Pd 6.7004 3.8688 3.5429
Cl 7.8796 2.1526 2.0520
Cl 5.8036 5.7482 5.0334
Cl 5.5210 2.1523 5.0335
Cl 8.7764 3.7057 5.0332
Cl 4.6244 3.7059 2.0521
Cl 7.5973 5.7485 2.0519



12
Lattice="6.8551 0.0847 -0.1490 0.1345 6.4611 -0.0600 -0.1768 -0.0491 8.8730" Properties=species:S:1:pos:R:3 comment="PBE KHoSn2Cl8, optimized geometry" space_group="P-1, No. 2" dos_ef_per_ev_fu=0.00 pbc="T T T"
K -0.0884 -0.0245 4.4365
Ho 0.0000 0.0000 0.0000
Sn 3.4688 3.2771 6.5522
Sn 3.3439 3.2196 2.1119
Cl 0.9963 4.8430 1.8564
Cl 4.6595 4.9420 8.4053
Cl 5.6113 1.4292 1.7460
Cl 5.8165 1.6537 6.8076
Cl 2.1532 1.5547 0.2587
Cl 1.2015 5.0675 6.9180
Cl 4.3884 4.6687 4.5831
Cl 2.4243 1.8280 4.0809



18
Lattice="7.3353 0.0000 0.0000 -3.6677 6.3526 0.0000 0.0000 0.0000 13.2572" Properties=species:S:1:pos:R:3 comment="PBE KSrHoCl6, optimized geometry" space_group="P-31c, No. 163" dos_ef_per_ev_fu=0.00 pbc="T T T"
K 0.0000 0.0000 0.0000
K 0.0000 0.0000 6.6286
Sr 0.0000 4.2351 3.3143
Sr 3.6677 2.1175 9.9429
Ho 3.6677 2.1175 3.3143
Ho 0.0000 4.2351 9.9429
Cl 2.4799 3.9457 1.8130
Cl 5.8448 2.2321 1.8130
Cl -0.9894 6.1778 8.4416
Cl -2.1772 4.1205 11.4442
Cl 1.4905 2.2321 4.8156
Cl 4.8555 3.9457 4.8156
Cl 0.9894 6.1778 11.4442
Cl 4.6570 0.1748 4.8156
Cl -1.1878 2.4069 8.4416
Cl 2.6783 0.1748 1.8130
Cl 2.1772 4.1205 8.4416
Cl 1.1878 2.4069 11.4442



12
Lattice="-6.0532 1.8392 -2.3404 -2.0397 -6.1894 0.4056 -2.8138 1.4802 8.4405" Properties=species:S:1:pos:R:3 comment="PBE KSr2HoCl8, optimized geometry" space_group="P2/m, No. 10" dos_ef_per_ev_fu=0.00 pbc="T T T"
K -1.4069 0.7401 4.2203
Sr -6.1607 -1.0629 5.3747
Sr -4.7460 -1.8071 1.1311
Ho 0.0000 0.0000 0.0000
Cl -3.1773 -4.2095 1.7125
Cl -8.4840 -1.8408 7.1328
Cl -6.1027 0.4839 -0.0859
Cl -7.7294 1.3395 4.7932
Cl -2.4227 -1.0292 -0.6270
Cl -4.8039 -3.3539 6.5917
Cl -6.7546 -2.5865 3.0210
Cl -4.1521 -0.2835 3.4847



18
Lattice="6.6275 0.0000 0.0000 -3.3137 5.7396 0.0000 0.0000 0.0000 14.1948" Properties=species:S:1:pos:R:3 comment="PBE KHoVCl6, optimized geometry" space_group="P-31c, No. 163" pbc="T T T"
K 0.0000 0.0000 0.0000
K 0.0000 0.0000 7.0974
Ho 3.3137 1.9132 3.5487
Ho 0.0000 3.8264 10.6461
V 0.0000 3.8264 3.5487
V 3.3137 1.9132 10.6461
Cl 2.0224 3.6912 2.0829
Cl -1.1283 2.1425 2.0829
Cl 2.4195 0.0941 9.1803
Cl 4.4420 3.5971 12.1119
Cl 1.1283 2.1425 5.0145
Cl -2.0224 3.6912 5.0145
Cl 4.2079 0.0941 12.1119
Cl 0.8942 5.6454 5.0145
Cl 5.3362 2.0483 9.1803
Cl -0.8942 5.6454 2.0829
Cl 2.1855 3.5971 9.1803
Cl 1.2913 2.0483 12.1119



18
Lattice="6.6975 0.0000 0.0000 -3.3488 5.8002 0.0000 0.0000 0.0000 13.9410" Properties=species:S:1:pos:R:3 comment="PBE KHoZnCl6, optimized geometry" space_group="P-31c, No. 163" dos_ef_per_ev_fu=0.00 pbc="T T T"
K 0.0000 0.0000 0.0000
K 0.0000 0.0000 6.9705
Ho 0.0000 3.8668 3.4852
Ho 3.3488 1.9334 10.4557
Zn 3.3488 1.9334 3.4852
Zn 0.0000 3.8668 10.4557
Cl 2.1793 3.5934 2.0183
Cl 5.3711 2.1161 2.0183
Cl -0.8529 5.7096 8.9888
Cl -2.0223 3.6841 11.9226
Cl 1.3264 2.1161 4.9521
Cl 4.5182 3.5934 4.9521
Cl 0.8529 5.7096 11.9226
Cl 4.2017 0.0906 4.9521
Cl -1.1694 2.2068 8.9888
Cl 2.4958 0.0906 2.0183
Cl 2.0223 3.6841 8.9888
Cl 1.1694 2.2068 11.9226



8
Lattice="-0.3974 5.2889 4.3751 -5.4773 0.6649 4.1032 0.9308 -1.4497 7.2410" Properties=species:S:1:pos:R:3 comment="PBE LaHoCl6, optimized geometry" space_group="R-3, No. 148" dos_ef_per_ev_fu=0.00 pbc="T T T"
La 0.0000 0.0000 0.0000
Ho -2.4719 2.2521 7.8596
Cl -1.5719 -0.2118 7.5305
Cl -0.2193 2.9124 9.0754
Cl -1.4205 2.9466 5.5357
Cl -4.7246 1.5917 6.6439
Cl -3.3719 4.7159 8.1888
Cl -3.5234 1.5575 10.1836



3
Lattice="7.4049 0.0000 0.0000 0.0000 3.7031 0.0000 0.0000 -1.8516 3.2070" Properties=species:S:1:pos:R:3 comment="PBE LaHoCl, optimized geometry" space_group="P3m1, No. 156" dos_ef_per_ev_fu=3.31 pbc="T T T"
Cl 0.1609 0.0000 0.0000
Ho 2.2059 0.0000 2.1380
La 5.0381 1.8516 1.0690



4
Lattice="3.5350 0.0000 0.0000 1.7675 3.0614 0.0000 1.7675 1.0205 11.3459" Properties=species:S:1:pos:R:3 comment="PBE La2HoCl, optimized geometry" space_group="R-3m, No. 166" dos_ef_per_ev_fu=6.61 pbc="T T T"
Cl 3.5350 2.0409 5.6729
Ho 0.0000 0.0000 0.0000
La 1.7675 1.0205 7.9990
La 5.3025 3.0614 3.3468



5
Lattice="-1.0696 5.3009 -1.3096 -0.3376 -1.3961 -5.3754 -5.4498 -0.9539 0.5900" Properties=species:S:1:pos:R:3 comment="PBE La3HoCl, optimized geometry" space_group="Pm-3m, No. 221" dos_ef_per_ev_fu=6.22 pbc="T T T"
Cl 0.0000 0.0000 0.0000
Ho -3.4285 1.4755 -3.0475
La -0.1688 -0.6980 -2.6877
La -2.7249 -0.4769 0.2950
La -0.5348 2.6504 -0.6548



11
Lattice="-5.7081 0.7467 -1.6187 0.0459 -7.4802 1.4158 0.1817 4.2199 6.3339" Properties=species:S:1:pos:R:3 comment="PBE La2HoCl8, optimized geometry" space_group="C2/m, No. 12" dos_ef_per_ev_fu=6.53 pbc="T T T"
La 0.1399 0.6176 4.8197
La 0.0877 -3.8779 2.9300
Ho -2.8541 0.3733 -0.8093
Cl -4.9048 -3.4387 4.0277
Cl -4.8692 -0.3753 5.3154
Cl -1.6281 -1.9062 4.5797
Cl -2.7799 -4.6686 1.6313
Cl -2.7007 2.1550 4.4997
Cl -3.8525 -0.6074 1.5513
Cl -0.6113 -2.1383 0.8156
Cl -0.5758 0.9251 2.1033



5
Lattice="-2.3373 -3.9935 -2.6246 4.5798 -1.0375 -2.4997 1.3647 -3.3578 3.8939" Properties=species:S:1:pos:R:3 comment="PBE LaHo3Cl, optimized geometry" space_group="Pm-3m, No. 221" dos_ef_per_ev_fu=4.63 pbc="T T T"
Cl 0.0000 0.0000 0.0000
Ho 2.2899 -0.5188 -1.2499
Ho 0.6823 -1.6789 1.9469
Ho -1.1686 -1.9968 -1.3123
La 1.8036 -4.1944 -0.6152



8
Lattice="-5.7327 2.4463 3.4484 0.3559 -6.5930 -2.6733 3.9049 -1.0828 5.4826" Properties=species:S:1:pos:R:3 comment="PBE LaHoCl6, optimized geometry" space_group="C2/m, No. 12" dos_ef_per_ev_fu=0.00 pbc="T T T"
La 0.0000 0.0000 0.0000
Ho -0.7360 -2.6147 3.1289
Cl -0.1997 -5.1311 3.7492
Cl -1.9308 -2.5610 5.4898
Cl 0.4589 -2.6684 0.7680
Cl -1.2723 -0.0984 2.5085
Cl 1.5243 -1.8571 4.2583
Cl -2.9963 -3.3723 1.9994



12
Lattice="-0.3981 5.4240 -3.7632 -6.0265 -2.0184 -1.5774 -3.1566 4.3093 6.5454" Properties=species:S:1:pos:R:3 comment="PBE Na2LaHoCl8, optimized geometry" space_group="P2/m, No. 10" dos_ef_per_ev_fu=0.00 pbc="T T T"
Na -5.6019 4.9649 2.2848
Na -3.9794 2.7500 -1.0800
La -1.5783 2.1546 3.2727
Ho 0.0000 0.0000 0.0000
Cl -5.6884 0.3644 -0.4115
Cl -7.7536 6.7007 2.7539
Cl -2.2249 5.0736 -1.8418
Cl -3.8929 7.3505 1.6163
Cl -1.8277 1.0142 -1.5492
Cl -7.3564 2.6413 3.0466
Cl -6.0868 4.5007 -0.4463
Cl -3.4945 3.2142 1.6510



7
Lattice="5.2778 0.0000 0.0000 0.0000 5.2778 0.0000 -2.6389 -2.6389 7.4020" Properties=species:S:1:pos:R:3 comment="PBE La2HoP2Cl2, optimized geometry" space_group="I4/mmm, No. 139" dos_ef_per_ev_fu=3.68 pbc="T T T"
La 0.0000 0.0000 5.7788
La 2.6389 2.6389 1.6232
Ho 0.0000 0.0000 0.0000
P 0.0000 2.6389 0.0000
P 2.6389 0.0000 0.0000
Cl 0.0000 0.0000 2.8479
Cl 2.6389 2.6389 4.5541



10
Lattice="-3.2687 -2.6573 -1.2574 2.7099 -3.4525 0.2517 -3.9007 -2.0124 14.3935" Properties=species:S:1:pos:R:3 comment="PBE LaHoTe2Cl, optimized geometry" space_group="P4/nmm, No. 129" dos_ef_per_ev_fu=1.66 pbc="T T T"
La -4.1172 -2.6095 8.5330
La -0.0629 -2.4577 5.3576
Ho -1.9667 -1.5001 0.5976
Ho -2.2134 -3.5672 13.2931
Te -1.4052 -3.1502 10.3106
Te 0.8901 -1.9661 1.8409
Te -5.0703 -3.1012 12.0497
Te -2.7749 -1.9171 3.5800
Cl -1.9503 -1.0062 7.1967
Cl -2.2298 -4.0611 6.6939



Table of formation energy from raw total energies (kJ/mol of atoms), in record order: -205, -203, -201, -159, -161, -151, -153, -222, -224, -179, -177, -222, -87, -51, -52, -203, -42, -222, -207, -151, -162
Table of total moment (Bohr magnetons per cell), in record order: 0.000, 0.000, 0.000, 2.083, 0.000, 2.000, 0.000, 0.000, 0.118, 6.000, 0.000, 0.000, 0.502, 0.000, 0.000, 1.220, 0.000, 0.000, 0.000, 0.805, 0.000